First-principles (PBE+U) data for an optimized crystal structure of GaWIO2, as listed in Alexandria via LeMat-Bulk.

Properties
For the density, the calculation gives 7.3 g/cm3. For the spin magnetization, the calculation gives 4.813 μB/cell. Its total energy is -21.07 eV/cell.

The structure in CIF format:
```
data_GaWIO2
_cell_length_a 3.972
_cell_length_b 3.972
_cell_length_c 5.985
_cell_angle_alpha 90.00
_cell_angle_beta 90.00
_cell_angle_gamma 90.00
_space_group_name_H-M_alt 'P 4/m m m'
_space_group_IT_number 123
_space_group_name_Hall '-P 4 2'
loop_
_atom_site_label
_atom_site_type_symbol
_atom_site_fract_x
_atom_site_fract_y
_atom_site_fract_z
Ga1 Ga 0.000 0.000 0.000
W1 W 0.500 0.500 0.500
I1 I 0.000 0.000 0.500
O1 O 0.000 0.500 0.000
```